# 1
A PBEsol-optimized structure of PrTlP2Se6. Source: Alexandria, functional SCAN.

a b c (Å): 7.692 11.682 12.184
angles (deg): 109.49 90.00 90.00
Atoms (fractional coordinates):
Se 0.304 0.939 0.410
Se 0.786 0.078 0.123
Se 0.714 0.578 0.123
Se 0.286 0.422 0.877
Se 0.790 0.366 0.792
Se 0.469 0.317 0.549
Se 0.531 0.683 0.451
Se 0.031 0.817 0.549
Se 0.015 0.626 0.894
Se 0.696 0.061 0.590
Se 0.985 0.374 0.106
Se 0.681 0.366 0.328
Se 0.214 0.922 0.877
Se 0.196 0.439 0.410
Se 0.290 0.134 0.208
Se 0.969 0.183 0.451
Se 0.485 0.126 0.894
Se 0.710 0.866 0.792
Se 0.515 0.874 0.106
Se 0.819 0.866 0.328
Se 0.319 0.634 0.672
Se 0.804 0.561 0.590
Se 0.181 0.134 0.672
Se 0.210 0.634 0.208
Tl 0.592 0.628 0.873
Tl 0.908 0.128 0.873
Tl 0.408 0.372 0.127
Tl 0.092 0.872 0.127
P 0.597 0.247 0.677
P 0.903 0.747 0.677
P 0.119 0.734 0.795
P 0.381 0.234 0.795
P 0.097 0.253 0.323
P 0.403 0.753 0.323
P 0.881 0.266 0.205
P 0.619 0.766 0.205
Pr 0.103 0.406 0.651
Pr 0.397 0.906 0.651
Pr 0.603 0.094 0.349
Pr 0.897 0.594 0.349

Results
**Formation energy without anion corrections**: -0.77 eV/atom
**Energy**: -26.4623 eV per atom



# 2
A PBEsol-optimized structure of P4Pt. Source: Alexandria, functional SCAN.

a b c (Å): 4.883 4.883 4.883
angles (deg): 109.47 109.47 109.47
Atoms (fractional coordinates):
P 0.500 0.000 0.000
P 0.000 0.000 0.500
P 0.500 0.500 0.500
P 0.000 0.500 0.000
Pt 0.000 0.000 0.000

Results
**Formation energy**: 0.73 eV/atom
**Energy**: -21.6307 eV per atom



# 3
A PBEsol-optimized structure of P5Pt3. Source: Alexandria, functional SCAN.

a b c (Å): 4.318 5.248 5.248
angles (deg): 99.42 90.00 90.00
Atoms (fractional coordinates):
P 0.000 0.000 0.000
P 0.500 0.308 0.308
P 0.000 0.000 0.500
P 0.000 0.500 0.000
P 0.500 0.692 0.692
Pt 0.500 0.821 0.179
Pt 0.500 0.179 0.821
Pt 0.000 0.500 0.500

Results
**Formation energy**: 0.35 eV/atom
**Energy**: -32.4671 eV per atom



# 4
A PBEsol-optimized structure of P2Pt5. Source: Alexandria, functional SCAN.

a b c (Å): 5.371 6.012 7.424
angles (deg): 98.16 90.00 116.53
Atoms (fractional coordinates):
Pt 0.083 0.713 0.908
Pt 0.107 0.000 0.250
Pt 0.917 0.287 0.092
Pt 0.608 0.762 0.033
Pt 0.392 0.238 0.967
Pt 0.154 0.762 0.533
Pt 0.846 0.238 0.467
Pt 0.630 0.713 0.408
Pt 0.370 0.287 0.592
Pt 0.893 0.000 0.750
P 0.565 0.318 0.275
P 0.246 0.682 0.225
P 0.754 0.318 0.775
P 0.435 0.682 0.725

Results
**Formation energy**: -0.47 eV/atom
**Energy**: -53.5821 eV per atom



# 5
A PBEsol-optimized structure of P3Pt. Source: Alexandria, functional SCAN.

a b c (Å): 2.960 2.960 6.441
angles (deg): 90.00 90.00 90.00
Atoms (fractional coordinates):
P 0.000 0.000 0.248
P 0.500 0.500 0.000
P 0.000 0.000 0.752
Pt 0.500 0.500 0.500

Results
**Formation energy**: 0.57 eV/atom
**Distance to the lowest polymorph of the same formula**: 0.000 eV per atom
**Energy**: -24.7764 eV per atom



# 6
A PBEsol-optimized structure of P3Pt. Source: Alexandria, functional SCAN.

a b c (Å): 2.726 2.726 8.373
angles (deg): 90.00 90.00 113.13
Atoms (fractional coordinates):
P 0.000 0.000 0.746
P 0.000 0.000 0.254
P 0.500 0.500 0.000
Pt 0.500 0.500 0.500

Results
**Formation energy**: 0.60 eV/atom
**Distance to the lowest polymorph of the same formula**: 0.032 eV per atom
**Energy**: -24.7445 eV per atom



# 7
A PBEsol-optimized structure of RbPPt2. Source: Alexandria, functional SCAN.

a b c (Å): 5.387 5.387 8.208
angles (deg): 109.16 109.16 90.00
Atoms (fractional coordinates):
Pt 0.125 0.375 0.750
Pt 0.625 0.375 0.250
Pt 0.625 0.375 0.750
Pt 0.625 0.875 0.250
P 0.500 0.500 0.000
P 0.750 0.250 0.500
Rb 0.250 0.750 0.500
Rb 0.000 0.000 0.000

Results
**Formation energy**: -0.52 eV/atom
**Energy**: -43.4035 eV per atom



# 8
A PBEsol-optimized structure of Rb2PPt. Source: Alexandria, functional SCAN.

a b c (Å): 4.387 9.257 9.257
angles (deg): 86.78 76.29 76.29
Atoms (fractional coordinates):
Pt 0.750 0.500 0.500
Pt 0.000 0.000 0.000
Rb 0.375 0.707 0.793
Rb 0.918 0.207 0.707
Rb 0.832 0.793 0.293
Rb 0.875 0.293 0.207
P 0.500 0.000 0.000
P 0.250 0.500 0.500

Results
**Formation energy**: -0.49 eV/atom
**Energy**: -31.0065 eV per atom



Question: Look up the energy of the eighth one.
Answer: -31.0065 eV per atom